Entry 1:
{"formula": "CsYSe2Br", "functional": "meta-GGA SCAN", "state": "PBEsol geometry", "total_energy_ev_per_cell": -131.234, "n_ef_per_ev_fu": 6.55, "sg": "No. 123", "formation_energy_uncorrected_ev_per_atom": -1.19, "lattice": [[5.276, 0.000, 0.000], [0.000, 5.276, 0.000], [0.000, 0.000, 13.931]], "species": ["Cs", "Y", "Se", "Se", "Br"], "frac_coords": [[0.000, 0.000, 0.500], [0.000, 0.000, 0.000], [0.000, 0.500, 0.000], [0.500, 0.000, 0.000], [0.500, 0.500, 0.500]]}

---

Entry 2:
{"formula": "TmCrB4", "functional": "meta-GGA SCAN", "state": "PBEsol geometry", "total_energy_ev_per_cell": -417.585, "n_ef_per_ev_fu": 1.01, "sg": "No. 55", "formation_energy_ev_per_atom": -0.74, "lattice": [[3.360, 0.000, 0.000], [0.000, 5.854, 0.000], [0.000, 0.000, 11.310]], "species": ["Cr", "Cr", "Cr", "Cr", "B", "B", "B", "B", "B", "B", "B", "B", "B", "B", "B", "B", "B", "B", "B", "B", "Tm", "Tm", "Tm", "Tm"], "frac_coords": [[0.000, 0.623, 0.080], [0.000, 0.377, 0.920], [0.000, 0.123, 0.420], [0.000, 0.877, 0.580], [0.500, 0.782, 0.185], [0.500, 0.218, 0.815], [0.500, 0.282, 0.315], [0.500, 0.718, 0.685], [0.500, 0.864, 0.033], [0.500, 0.136, 0.967], [0.500, 0.364, 0.467], [0.500, 0.636, 0.533], [0.500, 0.886, 0.453], [0.500, 0.114, 0.547], [0.500, 0.386, 0.047], [0.500, 0.614, 0.953], [0.500, 0.975, 0.307], [0.500, 0.025, 0.693], [0.500, 0.475, 0.193], [0.500, 0.525, 0.807], [0.000, 0.625, 0.349], [0.000, 0.375, 0.651], [0.000, 0.125, 0.151], [0.000, 0.875, 0.849]]}

---

Entry 3:
{"formula": "BaAs2Ru2", "functional": "meta-GGA SCAN", "state": "PBEsol geometry", "total_energy_ev_per_cell": -153.706, "n_ef_per_ev_fu": 1.70, "sg": "No. 139", "formation_energy_ev_per_atom": -0.82, "lattice": [[4.148, 0.000, 0.000], [0.000, 4.148, 0.000], [-2.074, -2.074, 6.052]], "species": ["Ru", "Ru", "As", "As", "Ba"], "frac_coords": [[0.250, 0.750, 0.500], [0.750, 0.250, 0.500], [0.648, 0.648, 0.297], [0.352, 0.352, 0.703], [0.000, 0.000, 0.000]]}

---

Entry 4:
{"formula": "Er5P12Ru19", "functional": "meta-GGA SCAN", "state": "PBEsol geometry", "total_energy_ev_per_cell": -1072.300, "n_ef_per_ev_fu": 17.70, "sg": "No. 189", "formation_energy_ev_per_atom": -0.95, "lattice": [[-1.147, -1.679, -3.334], [-7.546, -7.457, 6.350], [-4.105, 10.923, -4.088]], "species": ["Er", "Er", "Er", "Er", "Er", "P", "P", "P", "P", "P", "P", "P", "P", "P", "P", "P", "P", "Ru", "Ru", "Ru", "Ru", "Ru", "Ru", "Ru", "Ru", "Ru", "Ru", "Ru", "Ru", "Ru", "Ru", "Ru", "Ru", "Ru", "Ru", "Ru"], "frac_coords": [[0.500, 0.816, 0.000], [0.500, 0.184, 0.184], [0.500, 0.000, 0.816], [0.000, 0.667, 0.333], [0.000, 0.333, 0.667], [0.000, 0.183, 0.000], [0.000, 0.817, 0.817], [0.000, 0.000, 0.183], [0.500, 0.829, 0.307], [0.500, 0.478, 0.171], [0.500, 0.693, 0.522], [0.500, 0.307, 0.829], [0.500, 0.171, 0.478], [0.500, 0.522, 0.693], [0.000, 0.628, 0.000], [0.000, 0.372, 0.372], [0.000, 0.000, 0.628], [0.000, 0.444, 0.000], [0.000, 0.556, 0.556], [0.000, 0.000, 0.444], [0.500, 0.282, 0.000], [0.500, 0.718, 0.718], [0.500, 0.000, 0.282], [0.000, 0.815, 0.192], [0.000, 0.377, 0.185], [0.000, 0.808, 0.623], [0.000, 0.192, 0.815], [0.000, 0.185, 0.377], [0.000, 0.623, 0.808], [0.500, 0.634, 0.126], [0.500, 0.491, 0.366], [0.500, 0.874, 0.509], [0.500, 0.126, 0.634], [0.500, 0.366, 0.491], [0.500, 0.509, 0.874], [0.000, 0.000, 0.000]]}